Entry 1:
DFT (PBE) results for a relaxed structure of Sm2InSiPt6.

a b c (Å): 5.5822 8.7295 8.5409
angles (deg): 90.00 90.00 90.00
Sites, in units of the cell vectors:
Sm 0.2500 0.0049 0.2396
Sm 0.2500 0.4951 0.2396
Sm 0.7500 0.5049 0.7604
Sm 0.7500 0.9951 0.7604
In 0.2500 0.2500 0.7887
In 0.7500 0.7500 0.2113
Si 0.2500 0.7500 0.7285
Si 0.7500 0.2500 0.2715
Pt 0.0016 0.2500 0.5081
Pt 0.0029 0.7500 0.9512
Pt 0.2500 0.5027 0.6022
Pt 0.2500 0.9973 0.6022
Pt 0.4971 0.7500 0.9512
Pt 0.4984 0.2500 0.5081
Pt 0.5016 0.7500 0.4919
Pt 0.5029 0.2500 0.0488
Pt 0.7500 0.0027 0.3978
Pt 0.7500 0.4973 0.3978
Pt 0.9971 0.2500 0.0488
Pt 0.9984 0.7500 0.4919

Values from the calculation:
Total energy, eV/cell: -125.0
M_tot, μB/cell: 0.0



Entry 2:
DFT (PBE) results for a relaxed structure of SrInSi2Pt5.

a b c (Å): 4.1077 4.1077 10.9341
angles (deg): 90.00 90.00 90.00
Sites, in units of the cell vectors:
Sr 0.0000 0.0000 0.0000
In 0.0000 0.0000 0.5000
Si 0.5000 0.5000 0.2146
Si 0.5000 0.5000 0.7854
Pt 0.0000 0.5000 0.3252
Pt 0.0000 0.5000 0.6748
Pt 0.5000 0.0000 0.3252
Pt 0.5000 0.0000 0.6748
Pt 0.5000 0.5000 0.0000

Values from the calculation:
Total energy, eV/cell: -51.7
M_tot, μB/cell: 0.0



Entry 3:
DFT (PBE) results for a relaxed structure of Sr2InSi3Pt4.

a b c (Å): 4.4007 4.4007 10.2284
angles (deg): 90.00 90.00 90.00
Sites, in units of the cell vectors:
Sr 0.0000 0.5000 0.2451
Sr 0.5000 0.0000 0.7549
In 0.0000 0.0000 0.5000
Si 0.0000 0.5000 0.8829
Si 0.5000 0.0000 0.1171
Si 0.5000 0.5000 0.5000
Pt 0.0000 0.0000 0.0000
Pt 0.0000 0.5000 0.6478
Pt 0.5000 0.0000 0.3522
Pt 0.5000 0.5000 0.0000

Values from the calculation:
Total energy, eV/cell: -54.9
M_tot, μB/cell: 0.0



Entry 4:
DFT (PBE) results for a relaxed structure of TbIn2Si2Pt7.

a b c (Å): 4.0001 4.0001 14.1507
angles (deg): 95.92 95.92 90.07
Sites, in units of the cell vectors:
Tb 0.0000 0.0000 0.0000
In 0.1056 0.1056 0.3949
In 0.8944 0.8944 0.6051
Si 0.4090 0.4090 0.7465
Si 0.5910 0.5910 0.2535
Pt 0.0571 0.5578 0.1586
Pt 0.3795 0.3795 0.5815
Pt 0.4422 0.9429 0.8414
Pt 0.5000 0.5000 0.0000
Pt 0.5578 0.0571 0.1586
Pt 0.6205 0.6205 0.4185
Pt 0.9429 0.4422 0.8414

Values from the calculation:
Total energy, eV/cell: -71.7
M_tot, μB/cell: 0.0



Entry 5:
DFT (PBE) results for a relaxed structure of Tb3InSi2Pt9.

a b c (Å): 5.6636 5.6636 11.1727
angles (deg): 90.00 90.00 120.00
Sites, in units of the cell vectors:
Tb 0.0000 0.0000 0.0000
Tb 0.3333 0.6667 0.6024
Tb 0.6667 0.3333 0.3976
In 0.0000 0.0000 0.5000
Si 0.3333 0.6667 0.1576
Si 0.6667 0.3333 0.8424
Pt 0.0000 0.5000 0.0000
Pt 0.1646 0.3291 0.3078
Pt 0.1646 0.8354 0.3078
Pt 0.3291 0.1646 0.6922
Pt 0.5000 0.0000 0.0000
Pt 0.5000 0.5000 0.0000
Pt 0.6709 0.8354 0.3078
Pt 0.8354 0.1646 0.6922
Pt 0.8354 0.6709 0.6922

Values from the calculation:
Total energy, eV/cell: -93.6
M_tot, μB/cell: 0.0



Entry 6:
DFT (PBE) results for a relaxed structure of Tb2InSi4Pt3.

a b c (Å): 4.1916 4.1916 10.3750
angles (deg): 90.00 90.00 90.00
Sites, in units of the cell vectors:
Tb 0.0000 0.5000 0.2393
Tb 0.5000 0.0000 0.7607
In 0.0000 0.0000 0.5000
Si 0.0000 0.0000 0.0000
Si 0.0000 0.5000 0.6534
Si 0.5000 0.0000 0.3466
Si 0.5000 0.5000 0.0000
Pt 0.0000 0.5000 0.8813
Pt 0.5000 0.0000 0.1187
Pt 0.5000 0.5000 0.5000

Values from the calculation:
Total energy, eV/cell: -60.8
M_tot, μB/cell: 0.0



Entry 7:
DFT (PBE) results for a relaxed structure of In2SiTePt.

a b c (Å): 5.0882 5.0882 5.6112
angles (deg): 90.00 90.00 90.00
Sites, in units of the cell vectors:
In 0.0000 0.5000 0.0000
In 0.5000 0.0000 0.0000
Si 0.0000 0.0000 0.5000
Te 0.5000 0.5000 0.5000
Pt 0.5000 0.5000 0.0000

Values from the calculation:
Total energy, eV/cell: -18.2
M_tot, μB/cell: 0.2



Entry 8:
DFT (PBE) results for a relaxed structure of ThIn2Si2Pt7.

a b c (Å): 4.0424 4.0424 14.3729
angles (deg): 95.33 95.33 90.31
Sites, in units of the cell vectors:
Th 0.0000 0.0000 0.0000
In 0.1085 0.1085 0.4008
In 0.8915 0.8915 0.5992
Si 0.4125 0.4125 0.7441
Si 0.5875 0.5875 0.2559
Pt 0.0561 0.5555 0.1621
Pt 0.3830 0.3830 0.5826
Pt 0.4445 0.9439 0.8379
Pt 0.5000 0.5000 0.0000
Pt 0.5555 0.0561 0.1621
Pt 0.6170 0.6170 0.4174
Pt 0.9439 0.4445 0.8379

Values from the calculation:
Total energy, eV/cell: -74.3
M_tot, μB/cell: 0.0



Which value of M_tot does entry 2 give?
0.0 μB/cell